A geometry-optimized ScTl2Br structure. Source: Alexandria via LeMat-Bulk, functional GGA-PBE.

Geometry as extended XYZ:
```
4
Lattice="1.803 1.041 10.409 -1.803 1.041 10.409 0.000 -2.082 10.409" Properties=species:S:1:pos:R:3 pbc="T T T"
Sc 0.000 0.000 0.000
Tl 0.000 0.000 8.124
Tl 0.000 0.000 15.880
Br 0.000 0.000 22.584
```

**D(E_F)**: 2.82 states/eV/f.u.
**Formation energy without anion corrections**: -2.24 eV/f.u.
**Offset from the most stable computed form**: 0.000 eV per atom